First-principles (PBE) data for crystalline ZrAsAu at its relaxed geometry, as listed in Alexandria.

abc: 4.5964 4.5964 4.5964
angles: 60.00 60.00 60.00
Positions (direct):
Au 0.5000 0.5000 0.5000
Zr 0.2500 0.2500 0.2500
As 0.0000 0.0000 0.0000

The symmetry is F-43m.

***

First-principles (PBE) data for crystalline Sn6IrRh2 at its relaxed geometry, as listed in Alexandria.

abc: 6.5950 6.7795 9.5516
angles: 90.00 111.36 90.00
Positions (direct):
Sn 0.3005 0.5472 0.7030
Sn 0.1936 0.3197 0.0891
Sn 0.6995 0.4528 0.2970
Sn 0.2024 0.3082 0.4174
Sn 0.2976 0.8082 0.0826
Sn 0.6936 0.1803 0.5891
Sn 0.8005 0.9528 0.2030
Sn 0.1995 0.0472 0.7970
Sn 0.7976 0.6918 0.5826
Sn 0.8064 0.6803 0.9109
Sn 0.7024 0.1918 0.9174
Sn 0.3064 0.8197 0.4109
Rh 0.5020 0.8946 0.7052
Rh 0.4980 0.1054 0.2948
Rh 0.9980 0.3946 0.7948
Rh 0.0020 0.6054 0.2052
Ir 0.5000 0.5000 0.0000
Ir 0.0000 0.0000 0.5000

The symmetry is P2_1/c.

***

First-principles (PBE) data for crystalline LaCuIr2 at its relaxed geometry, as listed in Alexandria.

abc: 5.0525 5.0525 5.0525
angles: 131.14 131.14 71.60
Positions (direct):
Ir 0.2500 0.7500 0.5000
Ir 0.0000 0.0000 0.0000
Cu 0.7500 0.2500 0.5000
La 0.5000 0.5000 0.0000

The symmetry is I-4m2.

***

First-principles (PBE) data for crystalline LiCu2Pb at its relaxed geometry, as listed in Alexandria.

abc: 8.8024 8.8024 8.8024
angles: 20.60 20.60 20.60
Positions (direct):
Pb 0.2500 0.2500 0.2500
Cu 0.4934 0.4934 0.4934
Cu 0.0066 0.0066 0.0066
Li 0.7500 0.7500 0.7500

The symmetry is R-3m.

***

| no. | ΔH_f (0 K) (eV per atom) |
| --- | --- |
| 1 | -0.41 |
| 2 | -0.21 |
| 3 | 0.02 |
| 4 | 0.31 |